This record from Alexandria via LeMat-Bulk describes a geometry-optimized Dy2ZrAs3 structure. The functional is GGA-PBE.

abc: 4.032 4.032 17.052
angles: 90.00 90.00 90.00
Space group I4/mmm (No. 139)
Symmetry-distinct sites (fractional):
Dy1 0.000 0.000 0.167
Zr1 0.000 0.000 0.500
As1 0.000 0.000 0.000
As2 0.000 0.000 0.338

E_form = -1.368 eV/atom
Energy = -6.652 eV/atom